## a
AlCd2Ga after structural relaxation, computed with PBE-GGA.

Computed properties:
As for the crystal system: tetragonal. The density comes out at 6.509 g cm⁻³.

abc: 3.1046 3.1046 8.5101
angles: 90.00 90.00 90.00
Fractional positions:
Ga 0.5000 0.5000 0.0000
Cd 0.0000 0.0000 0.2547
Cd 0.0000 0.0000 0.7453
Al 0.5000 0.5000 0.5000

## b
AlCd2Ga after structural relaxation, computed with PBE-GGA.

Computed properties:
As for the crystal system: cubic. The density comes out at 6.265 g cm⁻³.

abc: 4.9395 4.9395 4.9395
angles: 60.00 60.00 60.00
Fractional positions:
Cd 0.2500 0.2500 0.2500
Cd 0.7500 0.7500 0.7500
Al 0.0000 0.0000 0.0000
Ga 0.5000 0.5000 0.5000

a is preferred energetically. Next in line: 59 meV/atom higher.